The following is a DFT calculation (GGA-PBEsol) of TeMo3 after structural relaxation.

Geometry as POSCAR:
```
TeMo3
1.0
2.8758 -0.0044 0.0000
-1.0645 2.6715 0.0000
0.0000 0.0000 9.0347
Mo Te
3 1
Cartesian
0.0000 0.0000 2.0432
0.0000 0.0000 6.9915
0.9057 1.3336 0.0000
0.9057 1.3336 4.5174
```

Calculated values
M_tot = 0.00 Bohr magnetons per cell
DOS(E_F) = 3.64 states/eV/cell
Offset from the most stable computed form = 262 meV per atom
SG = No. 65

=====

The following is a DFT calculation (GGA-PBEsol) of NiAsAuBr2 after structural relaxation.

Geometry as POSCAR:
```
NiAsAuBr2
1.0
4.5119 0.0000 0.0000
0.0000 4.8404 0.0000
0.0000 0.0000 4.8404
Br As Au Ni
2 1 1 1
Cartesian
0.0000 2.4202 0.0000
0.0000 0.0000 2.4202
2.2559 0.0000 0.0000
2.2559 2.4202 2.4202
0.0000 0.0000 0.0000
```

Calculated values
M_tot = 0.00 Bohr magnetons per cell
DOS(E_F) = 4.06 states/eV/cell
SG = No. 123

=====

| no. | energy (eV/atom) | ΔE_f (raw) (eV per atom) |
| --- | --- | --- |
| 1 | -9.17 | 0.54 |
| 2 | -3.31 | 0.47 |